Record 1
Below is Mg3ZnRh3 after structural relaxation, with properties calculated at the PBE-GGA level.

abc: 6.171 6.171 6.120
angles: 90.01 90.01 87.98
Sites, in units of the cell vectors:
Mg: 0.245 0.245 0.500
Mg: 0.269 0.731 0.000
Mg: 0.248 0.752 0.500
Mg: 0.752 0.248 0.500
Mg: 0.755 0.755 0.500
Mg: 0.731 0.269 0.000
Rh: 0.000 0.500 0.757
Rh: 0.000 0.500 0.243
Rh: 0.500 0.000 0.757
Rh: 0.000 0.000 0.760
Rh: 0.500 0.000 0.243
Rh: 0.000 0.000 0.240
Zn: 0.759 0.759 0.000
Zn: 0.241 0.241 0.000

Computed properties:
Total magnetization (Bohr magnetons per cell): 0.000
VASP energy (eV per atom): -4.439
DFT formation energy (eV/f.u.): -3.0

Record 2
Below is TlCuBr5 after structural relaxation, with properties calculated at the PBE-GGA level.

abc: 7.641 7.641 10.024
angles: 73.22 73.22 78.23
Sites, in units of the cell vectors:
Br: 0.813 0.283 0.501
Br: 0.656 0.746 0.618
Br: 0.029 0.971 0.750
Br: 0.717 0.187 0.999
Br: 0.187 0.717 0.499
Br: 0.344 0.254 0.382
Br: 0.746 0.656 0.118
Br: 0.254 0.344 0.882
Br: 0.283 0.813 0.001
Br: 0.971 0.029 0.250
Tl: 0.325 0.675 0.750
Tl: 0.675 0.325 0.250
Cu: 0.000 0.000 0.000
Cu: 0.000 0.000 0.500

Computed properties:
Distance to the lowest polymorph of the same formula (meV per atom): 0.0
Formation energy from raw total energies (eV/atom): -0.349
Total magnetization (Bohr magnetons per cell): 0.000
VASP energy (eV per atom): -2.467

Record 3
Below is KCa2Co after structural relaxation, with properties calculated at the PBE-GGA level.

abc: 5.446 5.446 5.446
angles: 60.00 60.00 60.00
Sites, in units of the cell vectors:
Co: 0.500 0.500 0.500
Ca: 0.250 0.250 0.250
Ca: 0.750 0.750 0.750
K: 0.000 0.000 0.000

Computed properties:
Distance to the lowest polymorph of the same formula (meV per atom): 324.7
Total magnetization (Bohr magnetons per cell): 0.000
VASP energy (eV per atom): -2.436
DFT formation energy (eV/f.u.): 2.5

Record 4
Below is Zr2CoPC after structural relaxation, with properties calculated at the PBE-GGA level.

abc: 4.793 3.907 4.793
angles: 90.00 90.00 90.00
Sites, in units of the cell vectors:
Zr: 0.500 0.000 0.000
Zr: 0.000 0.000 0.500
Co: 0.000 0.000 0.000
C: 0.500 0.500 0.500
P: 0.000 0.500 0.000

Computed properties:
Total magnetization (Bohr magnetons per cell): 0.000
VASP energy (eV per atom): -7.017
DFT formation energy (eV/f.u.): 3.7

Record 5
Below is Nd2Er8Tc after structural relaxation, with properties calculated at the PBE-GGA level.

abc: 5.420 6.686 9.467
angles: 85.99 106.63 90.00
Sites, in units of the cell vectors:
Tc: 0.500 0.000 0.000
Er: 0.161 0.837 0.323
Er: 0.969 0.768 0.938
Er: 0.359 0.886 0.717
Er: 0.582 0.621 0.163
Er: 0.418 0.379 0.837
Er: 0.839 0.163 0.677
Er: 0.031 0.232 0.062
Er: 0.641 0.114 0.283
Nd: 0.224 0.334 0.448
Nd: 0.776 0.666 0.552

Computed properties:
Total magnetization (Bohr magnetons per cell): 0.010
VASP energy (eV per atom): -5.113
DFT formation energy (eV/f.u.): 0.2

Record 6
Below is Ba2Ag2SnS6 after structural relaxation, with properties calculated at the PBE-GGA level.

abc: 7.336 7.336 7.767
angles: 61.82 61.82 60.00
Sites, in units of the cell vectors:
Ag: 0.413 0.413 0.760
Ag: 0.587 0.587 0.240
S: 0.795 0.236 0.732
S: 0.764 0.764 0.268
S: 0.764 0.205 0.268
S: 0.236 0.795 0.732
S: 0.205 0.764 0.268
S: 0.236 0.236 0.732
Ba: 0.777 0.777 0.670
Ba: 0.223 0.223 0.330
Sn: 0.000 0.000 0.000

Computed properties:
Formation energy from raw total energies (eV/atom): -0.699
Total magnetization (Bohr magnetons per cell): 0.000
VASP energy (eV per atom): -4.182